[1]
Material: La2TbPr
Method: DFT, PBE
State: relaxed

a b c (Å): 4.297 4.297 7.713
angles (deg): 90.00 90.00 90.00
Element x y z (fractional)
La 0.000 0.000 0.237
La 0.000 0.000 0.763
Tb 0.500 0.500 0.000
Pr 0.500 0.500 0.500

ΔE to the lowest computed polymorph = 80.7 meV/atom
ΔE_f = 0.092 eV per atom

=====

[2]
Material: NaSb3Pt3
Method: DFT, PBE
State: relaxed

a b c (Å): 7.381 7.381 7.381
angles (deg): 90.00 90.00 90.00
Element x y z (fractional)
Na 0.000 0.000 0.000
Na 0.500 0.500 0.500
Sb 0.000 0.250 0.500
Sb 0.000 0.750 0.500
Sb 0.250 0.500 0.000
Sb 0.500 0.000 0.250
Sb 0.500 0.000 0.750
Sb 0.750 0.500 0.000
Pt 0.000 0.500 0.250
Pt 0.000 0.500 0.750
Pt 0.250 0.000 0.500
Pt 0.500 0.250 0.000
Pt 0.500 0.750 0.000
Pt 0.750 0.000 0.500

raw formation energy = -0.229 eV/atom

=====

[3]
Material: CaRu3O
Method: DFT, PBE
State: relaxed

a b c (Å): 4.188 4.188 4.188
angles (deg): 90.00 90.00 90.00
Element x y z (fractional)
Ca 0.000 0.000 0.000
Ru 0.000 0.500 0.500
Ru 0.500 0.000 0.500
Ru 0.500 0.500 0.000
O 0.500 0.500 0.500

ΔE to the lowest computed polymorph = 0.0 meV/atom
raw formation energy = 0.176 eV/atom

=====

[4]
Material: CeErTh2
Method: DFT, PBE
State: relaxed

a b c (Å): 5.016 5.016 4.905
angles (deg): 90.00 90.00 90.00
Element x y z (fractional)
Ce 0.000 0.000 0.000
Er 0.500 0.500 0.000
Th 0.000 0.500 0.500
Th 0.500 0.000 0.500

ΔE to the lowest computed polymorph = 37.4 meV/atom
ΔE_f = 0.065 eV per atom

=====

[5]
Material: InCo2Ru
Method: DFT, PBE
State: relaxed

a b c (Å): 4.753 4.753 4.753
angles (deg): 132.93 132.93 68.77
Element x y z (fractional)
In 0.000 0.000 0.000
Co 0.500 0.500 0.000
Co 0.750 0.250 0.500
Ru 0.250 0.750 0.500

ΔE_f = 0.262 eV per atom

=====

[6]
Material: MgBe2Si2
Method: DFT, PBE
State: relaxed

a b c (Å): 3.763 3.934 5.799
angles (deg): 100.77 90.07 118.56
Element x y z (fractional)
Mg 0.000 0.000 0.000
Be 0.289 0.579 0.649
Be 0.397 0.794 0.315
Si 0.618 0.236 0.694
Si 0.721 0.442 0.323

raw formation energy = 0.097 eV/atom

=====

[7]
Material: HfTiHg
Method: DFT, PBE
State: relaxed

a b c (Å): 5.189 5.189 9.855
angles (deg): 118.25 118.25 33.95
Element x y z (fractional)
Hf 0.103 0.103 0.439
Hf 0.897 0.897 0.561
Ti 0.274 0.274 0.263
Ti 0.726 0.726 0.737
Hg 0.082 0.082 0.909
Hg 0.918 0.918 0.091

ΔE to the lowest computed polymorph = 137.8 meV/atom
ΔE_f = 0.150 eV per atom

=====

[8]
Material: TeP2ClF
Method: DFT, PBE
State: relaxed

a b c (Å): 4.252 4.252 5.303
angles (deg): 90.00 90.00 90.00
Element x y z (fractional)
Te 0.000 0.000 0.000
P 0.000 0.500 0.500
P 0.500 0.000 0.500
Cl 0.500 0.500 0.000
F 0.500 0.500 0.500

ΔE to the lowest computed polymorph = 0.0 meV/atom
raw formation energy = 0.519 eV/atom

=====

Q: What is the formula in the fifth record?
A: InCo2Ru

=====

Q: What is the formula in the fifth record?
A: InCo2Ru